This record from Alexandria via LeMat-Bulk describes a geometry-optimized CaTiMoO6 structure. The functional is PBE with a Hubbard U.

## Properties
The total energy comes out at -7.570 eV/atom. The calculation puts the magnetization at 0.00 μB per cell.

Structure (extended XYZ):
```
18
Lattice="4.850 0.000 0.000 0.000 4.850 0.000 0.000 0.000 9.434" Properties=species:S:1:pos:R:3 pbc="T T T"
Ca 0.000 0.000 0.000
Ca 2.425 2.425 4.717
Ti 0.000 0.000 3.147
Ti 2.425 2.425 7.864
Mo 0.000 0.000 6.287
Mo 2.425 2.425 1.569
O 0.841 0.841 4.699
O 1.035 1.035 7.555
O 1.062 1.062 1.779
O 1.363 3.488 6.496
O 1.390 3.460 2.837
O 1.584 3.266 9.416
O 3.266 1.584 9.416
O 3.460 1.390 2.837
O 3.488 1.363 6.496
O 3.788 3.788 1.779
O 3.815 3.815 7.555
O 4.010 4.010 4.699
```